Below is a relaxed RbZn2Au2 crystal, with properties calculated at the PBE level.

```
RbZn2Au2
1.0
4.5799 0.0000 0.0000
0.0000 4.5799 0.0000
0.0000 0.0000 11.3785
Rb Zn Au
2 4 4
Cartesian
0.0000 0.0000 0.0000 Rb
2.2900 2.2900 5.6892 Rb
0.0000 2.2900 2.8446 Zn
0.0000 2.2900 8.5338 Zn
2.2900 0.0000 2.8446 Zn
2.2900 0.0000 8.5338 Zn
0.0000 0.0000 4.2404 Au
0.0000 0.0000 7.1381 Au
2.2900 2.2900 1.4489 Au
2.2900 2.2900 9.9296 Au
```

## Properties
E: -22.1 eV per cell